Computed, not measured: crystalline Ba3ScMo2O9 at its relaxed geometry at the PBE+U level of DFT.

The total energy comes out at -7.27 eV per atom.

It has space group P-3m1 (No. 164), with a = 5.8434 Å, b = 5.8434 Å, c = 7.2451 Å, α = 90.00°, β = 90.00° and γ = 120.00°. The inequivalent atoms are Ba at (0.0000, 0.0000, 0.0000), Ba at (0.3333, 0.6667, 0.6639), Sc at (0.0000, 0.0000, 0.5000), Mo at (0.3333, 0.6667, 0.1688), O at (0.0000, 0.5000, 0.0000) and O at (0.1710, 0.3419, 0.3296).